i:
# VOsN2F

A relaxed VOsN2F crystal (PBE with a Hubbard U, the Alexandria database).

The density of states at the Fermi level is 0.762 states/eV per atom. The volume is 13.002 Å³ per atom.

The space group is P4/mmm (No. 123) and the conventional cell measures 3.8114, 3.8114 and 4.4754 Å, with angles of 90.00, 90.00 and 90.00 degrees. Symmetry generates all atoms from V at (0.0000, 0.0000, 0.0000), Os at (0.5000, 0.5000, 0.5000), N at (0.0000, 0.5000, 0.5000) and F at (0.5000, 0.5000, 0.0000).

ii:
# VOsN2F

A relaxed VOsN2F crystal (PBE with a Hubbard U, the Alexandria database).

The density of states at the Fermi level is 1.013 states/eV per atom. The volume is 11.238 Å³ per atom.

The space group is P4/mmm (No. 123) and the conventional cell measures 3.8940, 3.8940 and 3.7057 Å, with angles of 90.00, 90.00 and 90.00 degrees. Symmetry generates all atoms from V at (0.0000, 0.0000, 0.0000), Os at (0.5000, 0.5000, 0.5000), N at (0.0000, 0.5000, 0.0000) and F at (0.0000, 0.0000, 0.5000).

Q: Which of them is the most stable? A: i.